# 1
# Ba2YCu (PBE, optimized geometry)
# - density (Mg/m³) = 4.67
# - formation energy from the elements (kJ per mole of atoms) = 19.43
data_Ba2YCu
_chemical_formula_sum 'Ba2 Y1 Cu1'
_cell_length_a 3.933
_cell_length_b 3.933
_cell_length_c 9.817
_cell_angle_alpha 90.00
_cell_angle_beta 90.00
_cell_angle_gamma 90.00
_space_group_name_H-M_alt 'P 4/m m m'
_space_group_IT_number 123
_space_group_name_Hall '-P 4 2'
loop_
_atom_site_label
_atom_site_fract_x
_atom_site_fract_y
_atom_site_fract_z
Ba1 0.000 0.000 0.197
Y1 0.500 0.500 0.500
Cu1 0.500 0.500 0.000

# 2
# UPb3 (PBE, optimized geometry)
# - density (Mg/m³) = 12.69
# - formation energy from the elements (kJ per mole of atoms) = 13.79
data_UPb3
_chemical_formula_sum 'U1 Pb3'
_cell_length_a 4.749
_cell_length_b 4.840
_cell_length_c 4.895
_cell_angle_alpha 90.00
_cell_angle_beta 90.00
_cell_angle_gamma 90.00
_space_group_name_H-M_alt 'P m m m'
_space_group_IT_number 47
loop_
_space_group_symop_operation_xyz
'x,y,z'
'-x,-y,-z'
'-x,-y,z'
'x,y,-z'
'x,-y,-z'
'-x,y,z'
'-x,y,-z'
'x,-y,z'
loop_
_atom_site_label
_atom_site_fract_x
_atom_site_fract_y
_atom_site_fract_z
U1 0.000 0.000 0.000
Pb1 0.000 0.500 0.500
Pb2 0.500 0.000 0.500
Pb3 0.500 0.500 0.000

# 3
# CsAg2Hg2 (PBE, optimized geometry)
# - density (Mg/m³) = 8.13
# - formation energy from the elements (kJ per mole of atoms) = -2.18
data_CsAg2Hg2
_chemical_formula_sum 'Cs2 Ag4 Hg4'
_cell_length_a 5.146
_cell_length_b 5.146
_cell_length_c 11.571
_cell_angle_alpha 90.00
_cell_angle_beta 90.00
_cell_angle_gamma 90.00
_space_group_name_H-M_alt 'I 4/m m m'
_space_group_IT_number 139
_space_group_name_Hall '-I 4 2'
loop_
_atom_site_label
_atom_site_fract_x
_atom_site_fract_y
_atom_site_fract_z
Cs1 0.000 0.000 0.000
Ag1 0.000 0.500 0.250
Hg1 0.000 0.000 0.367

# 4
# SnH2Se (PBE, optimized geometry)
# - total DFT energy (no corrections) (eV/atom) = -3.52
# - density (Mg/m³) = 4.22
data_SnH2Se
_chemical_formula_sum 'Sn4 H8 Se4'
_cell_length_a 7.708
_cell_length_b 4.690
_cell_length_c 11.580
_cell_angle_alpha 90.00
_cell_angle_beta 131.29
_cell_angle_gamma 90.00
_space_group_name_H-M_alt 'P 1 21/c 1'
_space_group_IT_number 14
loop_
_space_group_symop_operation_xyz
'x,y,z'
'-x,-y,-z'
'-x,y+1/2,-z+1/2'
'x,-y+1/2,z+1/2'
loop_
_atom_site_label
_atom_site_fract_x
_atom_site_fract_y
_atom_site_fract_z
Sn1 0.196 0.248 0.248
H1 0.218 0.512 0.655
H2 0.405 0.507 0.341
Se1 0.199 0.503 0.949

# 5
# Sr2MgAl3Pd4 (PBE, optimized geometry)
# - density (Mg/m³) = 5.63
# - formation energy from the elements (kJ per mole of atoms) = -70.29
data_Sr2MgAl3Pd4
_chemical_formula_sum 'Sr2 Mg1 Al3 Pd4'
_cell_length_a 4.477
_cell_length_b 4.477
_cell_length_c 10.392
_cell_angle_alpha 90.00
_cell_angle_beta 90.00
_cell_angle_gamma 90.00
_space_group_name_H-M_alt 'P -4 m 2'
_space_group_IT_number 115
loop_
_space_group_symop_operation_xyz
'x,y,z'
'y,-x,-z'
'-x,-y,z'
'-y,x,-z'
'-x,y,z'
'-y,-x,-z'
'x,-y,z'
'y,x,-z'
loop_
_atom_site_label
_atom_site_fract_x
_atom_site_fract_y
_atom_site_fract_z
Sr1 0.000 0.500 0.242
Mg1 0.000 0.000 0.500
Al1 0.000 0.500 0.883
Al2 0.500 0.500 0.500
Pd1 0.000 0.000 0.000
Pd2 0.000 0.500 0.637
Pd3 0.500 0.500 0.000

# 6
# KBeSe2Br (PBE, optimized geometry)
# - density (Mg/m³) = 3.46
# - raw formation energy (meV/atom) = -517
data_KBeSe2Br
_chemical_formula_sum 'K1 Be1 Se2 Br1'
_cell_length_a 4.460
_cell_length_b 4.460
_cell_length_c 6.908
_cell_angle_alpha 90.00
_cell_angle_beta 90.00
_cell_angle_gamma 90.00
_space_group_name_H-M_alt 'P 4/m m m'
_space_group_IT_number 123
_space_group_name_Hall '-P 4 2'
loop_
_atom_site_label
_atom_site_fract_x
_atom_site_fract_y
_atom_site_fract_z
K1 0.000 0.000 0.000
Be1 0.500 0.500 0.500
Se1 0.000 0.500 0.500
Br1 0.500 0.500 0.000

# 7
# Na3Ce2TiSe6 (PBE, optimized geometry)
# - density (Mg/m³) = 4.71
# - raw formation energy (meV/atom) = -1447
data_Na3Ce2TiSe6
_chemical_formula_sum 'Na6 Ce4 Ti2 Se12'
_cell_length_a 7.102
_cell_length_b 12.308
_cell_length_c 7.419
_cell_angle_alpha 90.00
_cell_angle_beta 108.75
_cell_angle_gamma 90.00
_space_group_name_H-M_alt 'C 1 2/m 1'
_space_group_IT_number 12
loop_
_space_group_symop_operation_xyz
'x,y,z'
'-x,-y,-z'
'-x,y,-z'
'x,-y,z'
'x+1/2,y+1/2,z'
'-x+1/2,-y+1/2,-z'
'-x+1/2,y+1/2,-z'
'x+1/2,-y+1/2,z'
loop_
_atom_site_label
_atom_site_fract_x
_atom_site_fract_y
_atom_site_fract_z
Na1 0.000 0.000 0.000
Na2 0.000 0.331 0.000
Ce1 0.000 0.166 0.500
Ti1 0.000 0.500 0.500
Se1 0.232 0.345 0.728
Se2 0.234 0.500 0.274

# 8
# AcSm2VN4 (PBE, optimized geometry)
# - density (Mg/m³) = 8.15
# - raw formation energy (meV/atom) = -1243
data_AcSm2VN4
_chemical_formula_sum 'Ac4 Sm8 V4 N16'
_cell_length_a 3.518
_cell_length_b 12.209
_cell_length_c 12.042
_cell_angle_alpha 90.00
_cell_angle_beta 90.00
_cell_angle_gamma 90.00
_space_group_name_H-M_alt 'C m c m'
_space_group_IT_number 63
_space_group_name_Hall '-C 2c 2'
loop_
_atom_site_label
_atom_site_fract_x
_atom_site_fract_y
_atom_site_fract_z
Ac1 0.000 0.084 0.250
Sm1 0.000 0.370 0.043
V1 0.000 0.177 0.750
N1 0.000 0.000 0.000
N2 0.000 0.263 0.628
N3 0.000 0.411 0.250

no.,N(E_F) (states/eV per cell)
1,5.0
2,8.0
3,3.7
4,0.0
5,4.9
6,3.4
7,28.9
8,15.8